## SrMg2ZnCu (GGA-PBE)

Data for an optimized crystal structure of SrMg2ZnCu.

The structure in CIF format:
```
data_SrMg2ZnCu
_space_group_name_H-M_alt 'P 1'
_space_group_IT_number 1
_cell_length_a 4.998
_cell_length_b 4.998
_cell_length_c 4.861
_cell_angle_alpha 90.00
_cell_angle_beta 90.00
_cell_angle_gamma 90.00
loop_
_space_group_symop_operation_xyz
'x,y,z'
loop_
_atom_site_label
_atom_site_fract_x
_atom_site_fract_y
_atom_site_fract_z
Mg1 0.500 0.000 0.000
Mg2 0.000 0.500 0.000
Sr1 0.500 0.500 0.500
Cu1 0.000 0.000 0.000
Zn1 0.000 0.000 0.500
```

=====

## MgTa2Cu (GGA-PBE)

Data for an optimized crystal structure of MgTa2Cu.

The structure in CIF format:
```
data_MgTa2Cu
_space_group_name_H-M_alt 'P 1'
_space_group_IT_number 1
_cell_length_a 5.592
_cell_length_b 5.592
_cell_length_c 2.802
_cell_angle_alpha 80.36
_cell_angle_beta 80.36
_cell_angle_gamma 123.02
loop_
_space_group_symop_operation_xyz
'x,y,z'
loop_
_atom_site_label
_atom_site_fract_x
_atom_site_fract_y
_atom_site_fract_z
Ta1 0.000 0.000 0.000
Ta2 0.500 0.500 0.000
Mg1 0.000 0.500 0.500
Cu1 0.500 0.000 0.500
```

=====

## MgTa2Cu (GGA-PBE)

Data for an optimized crystal structure of MgTa2Cu.

The structure in CIF format:
```
data_MgTa2Cu
_space_group_name_H-M_alt 'P 1'
_space_group_IT_number 1
_cell_length_a 3.387
_cell_length_b 3.387
_cell_length_c 6.132
_cell_angle_alpha 90.00
_cell_angle_beta 90.00
_cell_angle_gamma 90.00
loop_
_space_group_symop_operation_xyz
'x,y,z'
loop_
_atom_site_label
_atom_site_fract_x
_atom_site_fract_y
_atom_site_fract_z
Ta1 0.000 0.000 0.025
Ta2 0.500 0.500 0.245
Cu1 0.000 0.000 0.497
Mg1 0.500 0.500 0.733
```

=====

## MgTaCu2 (GGA-PBE)

Data for an optimized crystal structure of MgTaCu2.

The structure in CIF format:
```
data_MgTaCu2
_space_group_name_H-M_alt 'P 1'
_space_group_IT_number 1
_cell_length_a 6.858
_cell_length_b 6.858
_cell_length_c 5.633
_cell_angle_alpha 52.50
_cell_angle_beta 52.50
_cell_angle_gamma 90.00
loop_
_space_group_symop_operation_xyz
'x,y,z'
loop_
_atom_site_label
_atom_site_fract_x
_atom_site_fract_y
_atom_site_fract_z
Ta1 0.000 0.000 0.000
Ta2 0.750 0.250 0.500
Mg1 0.500 0.500 0.000
Mg2 0.250 0.750 0.500
Cu1 0.375 0.373 0.750
Cu2 0.875 0.877 0.750
Cu3 0.123 0.625 0.250
Cu4 0.627 0.125 0.250
```

=====

## MgTa2Cu (GGA-PBE)

Data for an optimized crystal structure of MgTa2Cu.

The structure in CIF format:
```
data_MgTa2Cu
_space_group_name_H-M_alt 'P 1'
_space_group_IT_number 1
_cell_length_a 4.852
_cell_length_b 2.795
_cell_length_c 5.174
_cell_angle_alpha 78.64
_cell_angle_beta 90.00
_cell_angle_gamma 90.00
loop_
_space_group_symop_operation_xyz
'x,y,z'
loop_
_atom_site_label
_atom_site_fract_x
_atom_site_fract_y
_atom_site_fract_z
Ta1 0.000 0.470 0.489
Ta2 0.000 0.030 0.011
Cu1 0.500 0.250 0.250
Mg1 0.500 0.750 0.750
```

=====

## MgTaCu2 (GGA-PBE)

Data for an optimized crystal structure of MgTaCu2.

The structure in CIF format:
```
data_MgTaCu2
_space_group_name_H-M_alt 'P 1'
_space_group_IT_number 1
_cell_length_a 2.847
_cell_length_b 2.847
_cell_length_c 7.596
_cell_angle_alpha 90.00
_cell_angle_beta 90.00
_cell_angle_gamma 90.00
loop_
_space_group_symop_operation_xyz
'x,y,z'
loop_
_atom_site_label
_atom_site_fract_x
_atom_site_fract_y
_atom_site_fract_z
Mg1 0.000 0.000 0.471
Ta1 0.500 0.500 0.781
Cu1 0.500 0.500 0.223
Cu2 0.000 0.000 0.026
```

=====

## MgTa3Cu (GGA-PBE)

Data for an optimized crystal structure of MgTa3Cu.

The structure in CIF format:
```
data_MgTa3Cu
_space_group_name_H-M_alt 'P 1'
_space_group_IT_number 1
_cell_length_a 4.690
_cell_length_b 4.690
_cell_length_c 4.690
_cell_angle_alpha 90.00
_cell_angle_beta 90.00
_cell_angle_gamma 90.00
loop_
_space_group_symop_operation_xyz
'x,y,z'
loop_
_atom_site_label
_atom_site_fract_x
_atom_site_fract_y
_atom_site_fract_z
Ta1 0.000 0.000 0.500
Ta2 0.500 0.000 0.000
Ta3 0.000 0.500 0.000
Mg1 0.500 0.500 0.500
Cu1 0.000 0.000 0.000
```

=====

## MgTa2Cu2 (GGA-PBE)

Data for an optimized crystal structure of MgTa2Cu2.

The structure in CIF format:
```
data_MgTa2Cu2
_space_group_name_H-M_alt 'P 1'
_space_group_IT_number 1
_cell_length_a 7.266
_cell_length_b 7.266
_cell_length_c 3.060
_cell_angle_alpha 90.00
_cell_angle_beta 90.00
_cell_angle_gamma 90.00
loop_
_space_group_symop_operation_xyz
'x,y,z'
loop_
_atom_site_label
_atom_site_fract_x
_atom_site_fract_y
_atom_site_fract_z
Ta1 0.671 0.829 0.500
Ta2 0.829 0.329 0.500
Ta3 0.329 0.171 0.500
Ta4 0.171 0.671 0.500
Mg1 0.000 0.000 0.000
Mg2 0.500 0.500 0.000
Cu1 0.877 0.623 0.000
Cu2 0.123 0.377 0.000
Cu3 0.377 0.877 0.000
Cu4 0.623 0.123 0.000
```

=====

| no. | E_tot (eV/atom) |
| --- | --- |
| 1 | -2.08 |
| 2 | -7.05 |
| 3 | -7.08 |
| 4 | -4.77 |
| 5 | -7.07 |
| 6 | -5.30 |
| 7 | -7.12 |
| 8 | -6.46 |